(1)
The following is a DFT calculation (PBE-GGA) of an optimized crystal structure of ScPa2Ni9.

Cell: 3.8647 3.8647 11.2516 Å, 90.00 90.00 90.00°
Element x y z (fractional)
Sc 0.0000 0.0000 0.0000
Pa 0.0000 0.0000 0.3255
Pa 0.0000 0.0000 0.6745
Ni 0.0000 0.5000 0.1629
Ni 0.0000 0.5000 0.5000
Ni 0.0000 0.5000 0.8371
Ni 0.5000 0.0000 0.1629
Ni 0.5000 0.0000 0.5000
Ni 0.5000 0.0000 0.8371
Ni 0.5000 0.5000 0.0000
Ni 0.5000 0.5000 0.3322
Ni 0.5000 0.5000 0.6678

**Calculated formation energy**: -367 meV per atom
**Spin magnetization**: 0.00 μB per cell
**E above lowest polymorph**: 33 meV per atom
**Space-group type**: P4/mmm
**E_tot**: -6.81 eV/atom

=====

(2)
The following is a DFT calculation (PBE-GGA) of an optimized crystal structure of Sc2PaNi.

Cell: 3.1195 3.1195 29.8592 Å, 90.00 90.00 120.00°
Element x y z (fractional)
Sc 0.0000 0.0000 0.1029
Sc 0.0000 0.0000 0.8971
Sc 0.3333 0.6667 0.5637
Sc 0.3333 0.6667 0.7696
Sc 0.6667 0.3333 0.2304
Sc 0.6667 0.3333 0.4363
Pa 0.0000 0.0000 0.0000
Pa 0.3333 0.6667 0.6667
Pa 0.6667 0.3333 0.3333
Ni 0.0000 0.0000 0.5000
Ni 0.3333 0.6667 0.1667
Ni 0.6667 0.3333 0.8333

**Calculated formation energy**: 92 meV per atom
**Spin magnetization**: 0.00 μB per cell
**E above lowest polymorph**: 267 meV per atom
**Space-group type**: R-3m
**E_tot**: -6.89 eV/atom

=====

(3)
The following is a DFT calculation (PBE-GGA) of an optimized crystal structure of ScPa2Ni9.

Cell: 8.6536 8.6536 8.6536 Å, 32.64 32.64 32.64°
Element x y z (fractional)
Sc 0.0000 0.0000 0.0000
Pa 0.1378 0.1378 0.1378
Pa 0.8622 0.8622 0.8622
Ni 0.0815 0.5826 0.5826
Ni 0.3330 0.3330 0.3330
Ni 0.4174 0.4174 0.9185
Ni 0.4174 0.9185 0.4174
Ni 0.5000 0.5000 0.5000
Ni 0.5826 0.0815 0.5826
Ni 0.5826 0.5826 0.0815
Ni 0.6670 0.6670 0.6670
Ni 0.9185 0.4174 0.4174

**Calculated formation energy**: -400 meV per atom
**Spin magnetization**: 0.00 μB per cell
**E above lowest polymorph**: 0 meV per atom
**Space-group type**: R-3m
**E_tot**: -6.85 eV/atom

=====

(4)
The following is a DFT calculation (PBE-GGA) of an optimized crystal structure of Sc4PaNi5.

Cell: 3.1417 3.1417 16.6059 Å, 90.00 90.00 90.00°
Element x y z (fractional)
Sc 0.0000 0.0000 0.0969
Sc 0.0000 0.0000 0.2906
Sc 0.0000 0.0000 0.7094
Sc 0.0000 0.0000 0.9031
Pa 0.0000 0.0000 0.5000
Ni 0.5000 0.5000 0.0000
Ni 0.5000 0.5000 0.1948
Ni 0.5000 0.5000 0.3862
Ni 0.5000 0.5000 0.6138
Ni 0.5000 0.5000 0.8052

**Calculated formation energy**: -438 meV per atom
**Spin magnetization**: 0.00 μB per cell
**Space-group type**: P4/mmm
**E_tot**: -6.81 eV/atom

=====

(5)
The following is a DFT calculation (PBE-GGA) of an optimized crystal structure of ScPaNi2.

Cell: 4.4896 4.4896 12.3273 Å, 90.00 90.00 120.00°
Element x y z (fractional)
Sc 0.0000 0.0000 0.0000
Sc 0.3333 0.6667 0.6667
Sc 0.6667 0.3333 0.3333
Pa 0.0000 0.0000 0.5000
Pa 0.3333 0.6667 0.1667
Pa 0.6667 0.3333 0.8333
Ni 0.0000 0.0000 0.2818
Ni 0.0000 0.0000 0.7182
Ni 0.3333 0.6667 0.3849
Ni 0.3333 0.6667 0.9485
Ni 0.6667 0.3333 0.0515
Ni 0.6667 0.3333 0.6151

**Calculated formation energy**: -334 meV per atom
**Spin magnetization**: 0.00 μB per cell
**E above lowest polymorph**: 114 meV per atom
**Space-group type**: R-3m
**E_tot**: -7.18 eV/atom

=====

(6)
The following is a DFT calculation (PBE-GGA) of an optimized crystal structure of Sc2PaNi.

Cell: 3.1599 3.1599 8.0913 Å, 90.00 90.00 90.00°
Element x y z (fractional)
Sc 0.0000 0.0000 0.1931
Sc 0.0000 0.0000 0.8069
Pa 0.5000 0.5000 0.5000
Ni 0.5000 0.5000 0.0000

**Calculated formation energy**: -174 meV per atom
**Spin magnetization**: 0.31 μB per cell
**E above lowest polymorph**: 0 meV per atom
**Space-group type**: P4/mmm
**E_tot**: -7.16 eV/atom

=====

(7)
The following is a DFT calculation (PBE-GGA) of an optimized crystal structure of Sc3PaNi8.

Cell: 4.9377 4.9377 8.0667 Å, 90.00 90.00 120.00°
Element x y z (fractional)
Sc 0.0000 0.0000 0.0000
Sc 0.0000 0.0000 0.3653
Sc 0.3333 0.6667 0.8924
Pa 0.3333 0.6667 0.5058
Ni 0.3317 0.1658 0.6913
Ni 0.5005 0.0009 0.1902
Ni 0.5005 0.4995 0.1902
Ni 0.6667 0.3333 0.4400
Ni 0.6667 0.3333 0.9387
Ni 0.8342 0.1658 0.6913
Ni 0.8342 0.6683 0.6913
Ni 0.9991 0.4995 0.1902

**Calculated formation energy**: -468 meV per atom
**Spin magnetization**: 0.00 μB per cell
**Space-group type**: P3m1
**E_tot**: -6.70 eV/atom

=====

(8)
The following is a DFT calculation (PBE-GGA) of an optimized crystal structure of Sc2PaNi9.

Cell: 8.4541 8.4541 8.4541 Å, 33.36 33.36 33.36°
Element x y z (fractional)
Sc 0.1416 0.1416 0.1416
Sc 0.8584 0.8584 0.8584
Pa 0.0000 0.0000 0.0000
Ni 0.0820 0.5861 0.5861
Ni 0.3337 0.3337 0.3337
Ni 0.4139 0.4139 0.9180
Ni 0.4139 0.9180 0.4139
Ni 0.5000 0.5000 0.5000
Ni 0.5861 0.0820 0.5861
Ni 0.5861 0.5861 0.0820
Ni 0.6663 0.6663 0.6663
Ni 0.9180 0.4139 0.4139

**Calculated formation energy**: -472 meV per atom
**Spin magnetization**: 0.00 μB per cell
**Space-group type**: R-3m
**E_tot**: -6.66 eV/atom